# 1
MgAsRu2 | Alexandria via LeMat-Bulk | PBE | optimized geometry; energy of formation from the pure elements = -122 meV/atom; crystal system = tetragonal
1.0
3.0643 0.0000 0.0000
0.0000 3.0643 0.0000
0.0000 0.0000 6.2730
Mg As Ru
1 1 2
direct
0.0000 0.0000 0.0000 Mg
0.0000 0.0000 0.5000 As
0.5000 0.5000 0.2748 Ru
0.5000 0.5000 0.7252 Ru

=====

# 2
Pu3HPb | Alexandria via LeMat-Bulk | PBE | optimized geometry; VASP energy = -51.0 eV per cell; crystal system = cubic
1.0
4.8425 0.0000 0.0000
0.0000 4.8425 0.0000
0.0000 0.0000 4.8425
Pu H Pb
3 1 1
direct
0.0000 0.0000 0.5000 Pu
0.0000 0.5000 0.0000 Pu
0.5000 0.0000 0.0000 Pu
0.0000 0.0000 0.0000 H
0.5000 0.5000 0.5000 Pb

=====

# 3
EuHgBi | Alexandria via LeMat-Bulk | PBE | optimized geometry; polymorph energy (0 for the lowest one) = 34 meV per atom; energy of formation from the pure elements = -479 meV/atom; crystal system = tetragonal
1.0
-2.0021 2.0021 5.6807
2.0021 -2.0021 5.6807
2.0021 2.0021 -5.6807
Eu Hg Bi
1 1 1
direct
0.0000 0.0000 0.0000 Eu
0.6623 0.6623 0.0000 Hg
0.3140 0.3140 0.0000 Bi

=====

# 4
SmThPd | Alexandria via LeMat-Bulk | PBE | optimized geometry; polymorph energy (0 for the lowest one) = 0 meV per atom; energy of formation from the pure elements = -511 meV/atom; crystal system = monoclinic
1.0
5.4085 0.0000 0.0000
0.0000 4.9772 0.0000
-2.1546 0.0000 6.0732
Sm Th Pd
2 2 2
direct
0.0819 0.2500 0.2402 Sm
0.9181 0.7500 0.7598 Sm
0.4309 0.2500 0.8208 Th
0.5691 0.7500 0.1792 Th
0.3342 0.7500 0.5407 Pd
0.6658 0.2500 0.4593 Pd